This record from Alexandria via LeMat-Bulk describes a relaxed CsHg2Pb crystal. The functional is PBE.

POSCAR file:
```
CsHg2Pb
1.0
3.976 0.000 0.000
0.000 3.976 0.000
0.000 0.000 8.930
Cs Hg Pb
1 2 1
Cartesian
1.988 1.988 4.465
0.000 0.000 7.107
0.000 0.000 1.823
1.988 1.988 0.000
```

- Energy relative to the elements: -10.0 kJ per mole of atoms
- Density of states at the Fermi level: 0.638 states/eV per atom

This record from Alexandria via LeMat-Bulk describes a relaxed Pa2Se4Cl crystal. The functional is PBE.

POSCAR file:
```
Pa2Se4Cl
1.0
-7.760 0.189 3.945
0.648 -8.682 -0.124
6.212 4.371 3.310
Pa Se Cl
4 8 2
Cartesian
0.053 0.140 4.901
3.933 0.046 2.929
-3.054 -2.045 3.247
-2.729 -6.386 3.185
2.022 -1.724 4.072
-1.327 -4.079 2.288
-1.962 -1.634 5.841
-1.915 2.005 5.732
-4.781 -0.011 4.205
2.068 1.915 3.961
-1.547 0.266 2.553
-4.560 -4.356 3.940
6.212 4.371 3.310
1.653 -4.279 2.548
```

- Density of states at the Fermi level: 0.694 states/eV per atom
- E above lowest polymorph: 2.298 eV per formula unit
- Formation energy (no corrections): -7.62 eV/f.u.

This record from Alexandria via LeMat-Bulk describes a relaxed LiAc2AlPt6 crystal. The functional is PBE.

POSCAR file:
```
LiAc2AlPt6
1.0
-3.995 1.222 -7.288
-4.860 -0.837 2.524
-4.771 4.642 -1.566
Pt Al Ac Li
6 1 2 1
Cartesian
-11.410 4.901 -5.082
-4.697 -0.301 0.039
-9.659 2.797 -5.509
-3.967 2.230 -0.821
-8.929 5.327 -6.369
-2.216 0.126 -1.248
-4.428 0.192 -2.382
-6.418 2.904 -5.313
-7.208 2.123 -1.017
0.000 0.000 0.000
```

- Energy relative to the elements: -86.7 kJ per mole of atoms
- Density of states at the Fermi level: 0.281 states/eV per atom